No. 1
VASP calculation (PBE) on a relaxed K2GaRh2 crystal.

Geometry as POSCAR:
```
K2GaRh2
1.0
9.645 0.000 0.000
0.000 9.645 0.000
0.000 0.000 2.658
K Rh Ga
4 4 2
Direct
0.375 0.875 0.000
0.875 0.625 0.000
0.625 0.125 0.000
0.125 0.375 0.000
0.176 0.676 0.500
0.676 0.824 0.500
0.824 0.324 0.500
0.324 0.176 0.500
0.000 0.000 0.000
0.500 0.500 0.000
```

Properties
Density ... 4.75 Mg/m³
Uncorrected energy ... -3.095 eV/atom
Symmetry ... P4/mbm (127)
Formation enthalpy at 0 K ... 0.89 eV/atom
ΔE to the lowest computed polymorph ... 436 meV per atom



No. 2
VASP calculation (PBE) on a relaxed KGa3Rh crystal.

Geometry as POSCAR:
```
KGa3Rh
1.0
-0.978 4.590 1.360
-3.469 0.277 -3.430
-3.299 -1.652 3.204
K Rh Ga
1 1 3
Direct
0.500 0.500 0.500
0.000 0.000 0.000
0.000 0.500 0.000
0.000 0.000 0.500
0.500 0.000 0.000
```

Properties
Density ... 5.00 Mg/m³
Uncorrected energy ... -3.784 eV/atom
Symmetry ... Pm-3m (221)
Formation enthalpy at 0 K ... -0.28 eV/atom
ΔE to the lowest computed polymorph ... 25 meV per atom



No. 3
VASP calculation (PBE) on a relaxed KGa2Rh crystal.

Geometry as POSCAR:
```
KGa2Rh
1.0
5.860 0.000 0.000
0.000 5.860 0.000
2.930 2.930 7.396
K Rh Ga
2 2 4
Direct
0.500 0.500 0.000
0.250 0.750 0.500
0.000 0.000 0.000
0.750 0.250 0.500
0.875 0.125 0.250
0.875 0.625 0.250
0.375 0.125 0.750
0.875 0.125 0.750
```

Properties
Density ... 3.68 Mg/m³
Uncorrected energy ... -3.805 eV/atom
Symmetry ... I4_1/amd (141)
Formation enthalpy at 0 K ... -0.18 eV/atom



No. 4
VASP calculation (PBE) on a relaxed K2Ga2Rh crystal.

Geometry as POSCAR:
```
K2Ga2Rh
1.0
6.828 0.000 0.000
0.000 6.828 0.000
0.000 0.000 6.024
K Rh Ga
4 2 4
Direct
0.172 0.672 0.500
0.672 0.828 0.500
0.828 0.328 0.500
0.328 0.172 0.500
0.000 0.000 0.000
0.500 0.500 0.000
0.291 0.791 0.000
0.791 0.709 0.000
0.709 0.209 0.000
0.209 0.291 0.000
```

Properties
Density ... 3.79 Mg/m³
Uncorrected energy ... -3.178 eV/atom
Symmetry ... P4/mbm (127)
Formation enthalpy at 0 K ... -0.06 eV/atom



No. 5
VASP calculation (PBE) on a relaxed KGa3Rh crystal.

Geometry as POSCAR:
```
KGa3Rh
1.0
-0.264 -0.915 5.061
5.589 -3.516 -0.341
6.093 3.341 1.234
K Ga Rh
2 6 2
Direct
0.335 0.214 0.298
0.354 0.511 0.705
0.845 0.362 0.502
0.211 0.947 0.833
0.478 0.778 0.170
0.845 0.862 0.502
0.846 0.173 0.001
0.844 0.550 0.003
0.974 0.750 0.226
0.716 0.974 0.777
```

Properties
Density ... 5.50 Mg/m³
Uncorrected energy ... -3.809 eV/atom
Symmetry ... P-1 (2)
Formation enthalpy at 0 K ... -0.30 eV/atom
ΔE to the lowest computed polymorph ... 0 meV per atom



No. 6
VASP calculation (PBE) on a relaxed K2GaRh crystal.

Geometry as POSCAR:
```
K2GaRh
1.0
4.090 0.000 0.000
0.000 4.090 0.000
2.045 2.045 11.503
K Rh Ga
4 2 2
Direct
0.629 0.125 0.250
0.121 0.625 0.250
0.375 0.371 0.750
0.875 0.879 0.750
0.000 0.000 0.000
0.750 0.250 0.500
0.500 0.500 0.000
0.250 0.750 0.500
```

Properties
Density ... 4.33 Mg/m³
Uncorrected energy ... -2.557 eV/atom
Symmetry ... I-42d (122)
Formation enthalpy at 0 K ... 0.59 eV/atom



No. 7
VASP calculation (PBE) on a relaxed K2Ga6Rh crystal.

Geometry as POSCAR:
```
K2Ga6Rh
1.0
-4.294 0.437 -3.775
3.810 -0.805 -4.763
0.599 -5.883 -1.699
K Ga Rh
2 6 1
Direct
0.828 0.633 0.633
0.172 0.367 0.367
0.332 0.300 0.889
0.295 0.805 0.805
0.332 0.889 0.300
0.668 0.700 0.111
0.705 0.195 0.195
0.668 0.111 0.700
0.000 0.000 0.000
```

Properties
Density ... 5.01 Mg/m³
Uncorrected energy ... -3.220 eV/atom
Symmetry ... C2/m (12)
Formation enthalpy at 0 K ... -0.14 eV/atom



No. 8
VASP calculation (PBE) on a relaxed KGa2Rh crystal.

Geometry as POSCAR:
```
KGa2Rh
1.0
0.000 3.385 3.385
3.385 0.000 3.385
3.385 3.385 0.000
K Rh Ga
1 1 2
Direct
0.000 0.000 0.000
0.500 0.500 0.500
0.250 0.250 0.250
0.750 0.750 0.750
```

Properties
Density ... 6.03 Mg/m³
Uncorrected energy ... -3.448 eV/atom
Symmetry ... Fm-3m (225)
Formation enthalpy at 0 K ... 0.18 eV/atom



What did the eighth record say?
VASP calculation (PBE) on a relaxed KGa2Rh crystal.

Geometry as POSCAR:
```
KGa2Rh
1.0
0.000 3.385 3.385
3.385 0.000 3.385
3.385 3.385 0.000
K Rh Ga
1 1 2
Direct
0.000 0.000 0.000
0.500 0.500 0.500
0.250 0.250 0.250
0.750 0.750 0.750
```

Properties
Density ... 6.03 Mg/m³
Uncorrected energy ... -3.448 eV/atom
Symmetry ... Fm-3m (225)
Formation enthalpy at 0 K ... 0.18 eV/atom